Record 1
First-principles (PBE) data for Y2CdSi after structural relaxation, as listed in the Alexandria database.

Mass density ... 5.566 Mg/m³
DOS at the Fermi energy ... 0.511 states/eV/atom
Electronic total energy ... -0.3880 Ry/atom

Cell: 3.3921 3.9335 7.1165 Å, 90.00 90.00 90.00°
Closest atoms and distances in Å follow each position.
Positions (direct):
Si  0.5000  0.5000  0.7500  8 Y 3.06, 2 Si 3.39
Cd  0.5000  0.5000  0.2500  8 Y 3.24, 2 Cd 3.39, 2 Si 3.56
Y  0.0000  0.0000  0.5216  4 Si 3.06, 4 Cd 3.24, 3 Y 3.25-3.39
Y  0.0000  0.0000  0.9784  4 Si 3.06, 4 Cd 3.24, 3 Y 3.25-3.39

***

Record 2
First-principles (PBE) data for YCdSi after structural relaxation, as listed in the Alexandria database.

Mass density ... 5.580 Mg/m³
DOS at the Fermi energy ... 0.819 states/eV/atom
Electronic total energy ... -0.3242 Ry/atom

Cell: 6.3260 6.1437 3.4831 Å, 76.68 70.92 32.40°
Closest atoms and distances in Å follow each position.
Positions (direct):
Y  0.6799  0.6799  0.3201  2 Si 2.88, 2 Cd 3.19
Cd  0.9804  0.9804  0.0196  2 Si 2.74
Si  0.3397  0.3397  0.6603  2 Cd 2.74, 2 Y 2.88

***

Record 3
First-principles (PBE) data for YCd2Si2 after structural relaxation, as listed in the Alexandria database.

Mass density ... 5.613 Mg/m³
DOS at the Fermi energy ... 0.530 states/eV/atom
Polymorph energy (0 for the lowest one) ... 151.3 meV per atom
Electronic total energy ... -0.2830 Ry/atom

Cell: 7.3157 7.3157 4.0892 Å, 90.00 90.00 90.00°
Closest atoms and distances in Å follow each position.
Positions (direct):
Cd  0.1786  0.6786  0.5000  6 Si 2.95-3.00
Si  0.8847  0.6153  0.0000  1 Si 2.39
Y  0.0000  0.0000  0.0000  4 Si 2.94
Cd  0.3214  0.1786  0.5000  6 Si 2.95-3.00
Cd  0.8214  0.3214  0.5000  6 Si 2.95-3.00
Cd  0.6786  0.8214  0.5000  6 Si 2.95-3.00
Si  0.1153  0.3847  0.0000  1 Si 2.39
Y  0.5000  0.5000  0.0000  4 Si 2.94
Si  0.3847  0.8847  0.0000  1 Si 2.39
Si  0.6153  0.1153  0.0000  1 Si 2.39

***

Record 4
First-principles (PBE) data for YCdSi2 after structural relaxation, as listed in the Alexandria database.

Mass density ... 5.081 Mg/m³
DOS at the Fermi energy ... 0.628 states/eV/atom
Electronic total energy ... -0.3249 Ry/atom

Cell: 4.9189 4.9189 4.9189 Å, 60.00 60.00 60.00°
Closest atoms and distances in Å follow each position.
Positions (direct):
Si  0.2500  0.2500  0.2500  4 Cd 3.01, 4 Si 3.01
Y  0.7500  0.7500  0.7500  4 Cd 3.01, 4 Si 3.01
Cd  0.5000  0.5000  0.5000  4 Si 3.01, 4 Y 3.01
Si  0.0000  0.0000  0.0000  4 Si 3.01, 4 Y 3.01

***

Record 5
First-principles (PBE) data for Y2CdSi after structural relaxation, as listed in the Alexandria database.

Mass density ... 4.787 Mg/m³
DOS at the Fermi energy ... 0.828 states/eV/atom
Electronic total energy ... -0.3825 Ry/atom

Cell: 4.3125 4.3125 7.2824 Å, 72.48 72.48 60.43°
Closest atoms and distances in Å follow each position.
Positions (direct):
Cd  0.7500  0.7500  0.7500  6 Y 3.21-3.22
Y  0.5151  0.5151  0.4538  3 Si 2.85-2.86
Y  0.9849  0.9849  0.0462  3 Si 2.85-2.86
Si  0.2500  0.2500  0.2500  6 Y 2.85-2.86

***

Record 6
First-principles (PBE) data for Y2CdSi after structural relaxation, as listed in the Alexandria database.

Mass density ... 5.451 Mg/m³
DOS at the Fermi energy ... 1.254 states/eV/atom
Electronic total energy ... -0.3399 Ry/atom

Cell: 5.1568 5.1568 5.1568 Å, 60.00 60.00 60.00°
Closest atoms and distances in Å follow each position.
Positions (direct):
Cd  0.5000  0.5000  0.5000  4 Y 3.16, 4 Si 3.16
Y  0.2500  0.2500  0.2500  4 Cd 3.16, 4 Y 3.16
Y  0.0000  0.0000  0.0000  4 Si 3.16, 4 Y 3.16
Si  0.7500  0.7500  0.7500  4 Y 3.16, 4 Cd 3.16

***

Which value of mass density does entry 5 give? 4.787 Mg/m³

***

Look up the DOS at the Fermi energy of the first one. 0.511 states/eV/atom

***

Which value of DOS at the Fermi energy does entry 1 give? 0.511 states/eV/atom